The following is a GGA-PBE calculation of crystalline Cs2PmI6 at its relaxed geometry, from the Alexandria database.

Results
Magnetic moment: 0.7 μB per formula unit
Formation energy without anion corrections: -1219 meV/atom

Unit cell a=4.956 b=9.824 c=9.822 alpha=120.01 beta=90.00 gamma=90.00
Atoms (fractional coordinates):
I1 0.000 0.000 0.226
I2 0.500 0.000 0.657
I3 0.000 0.226 0.000
I4 0.500 0.343 0.343
Cs1 0.000 0.334 0.667
I5 0.000 0.774 0.774
I6 0.500 0.656 0.000
Pm1 0.500 0.000 0.000
Cs2 0.000 0.667 0.333

The following is a GGA-PBE calculation of crystalline AgIrBr2 at its relaxed geometry, from the Alexandria database.

Results
Magnetic moment: 0.0 μB per formula unit
Formation energy without anion corrections: 179 meV/atom

Unit cell a=3.695 b=7.040 c=7.013 alpha=44.99 beta=90.00 gamma=90.00
Atoms (fractional coordinates):
Ag1 0.500 0.750 0.750
Br1 0.000 0.373 0.379
Ir1 0.500 0.250 0.250
Br2 0.000 0.127 0.121

The following is a GGA-PBE calculation of crystalline Mg2ZrRh at its relaxed geometry, from the Alexandria database.

Results
Magnetic moment: 0.0 μB per formula unit
Electronic total energy: -4.889 eV per atom

Unit cell a=9.694 b=9.694 c=9.694 alpha=18.03 beta=18.03 gamma=18.03
Atoms (fractional coordinates):
Mg1 0.987 0.987 0.987
Mg2 0.513 0.513 0.513
Rh1 0.250 0.250 0.250
Zr1 0.750 0.750 0.750